Ca4Ac5Pm | GGA-PBE | relaxed

a b c (Å): 3.892 3.892 28.141
angles (deg): 90.00 90.00 90.00
Element x y z (fractional)
Ca: 0.000 0.000 0.805
Ca: 0.000 0.000 0.398
Ac: 0.500 0.500 0.296
Ac: 0.500 0.500 0.092
Ac: 0.500 0.500 0.704
Ca: 0.000 0.000 0.602
Ac: 0.500 0.500 0.908
Ac: 0.500 0.500 0.500
Ca: 0.000 0.000 0.195
Pm: 0.000 0.000 0.000

Calculated values
As for the symmetry: P4/mmm (123). The value obtained for the size of the total moment is 0.00 μB per cell. The calculated density is 5.6 g/cm³. The energy of formation comes out at 0.054 eV/atom. For the total DFT energy (no corrections), the calculation gives -32.76 eV per formula unit.